# 1
Density functional theory data (PBE) for crystalline Pm3Co at its relaxed geometry.

DOS at the Fermi energy (states/eV/cell): 4.87
Space group: No. 25
Crystal system: orthorhombic
Distance to the lowest polymorph of the same formula (eV per formula unit): 0.788
M_tot (μB/atom): 0.08

a = 3.6110 Å, b = 3.4771 Å, c = 9.3098 Å
α = 90.00°, β = 90.00°, γ = 90.00°
Last column: nearest neighbours and their distance in Å.
Positions (direct):
1 Co 0.0000 0.0000 0.9797  6 Pm 2.71-2.84
2 Pm 0.0000 0.5000 0.4673  10 Pm 3.48-3.72
3 Pm 0.5000 0.5000 0.1231  4 Co 2.84
4 Pm 0.5000 0.0000 0.7633  2 Co 2.71

***

# 2
Density functional theory data (PBE) for crystalline LuCuIr4 at its relaxed geometry.

VASP energy (eV per atom): -7.5769
DOS at the Fermi energy (states/eV/cell): 6.72
Space group: No. 216
Crystal system: cubic
M_tot (μB/atom): 0.00

a = 5.2209 Å, b = 5.2209 Å, c = 5.2209 Å
α = 60.00°, β = 60.00°, γ = 60.00°
Last column: nearest neighbours and their distance in Å.
Positions (direct):
1 Ir 0.6253 0.6253 0.1240  6 Ir 2.60-2.62
2 Ir 0.6253 0.1240 0.6253  6 Ir 2.60-2.62
3 Ir 0.6253 0.6253 0.6253  6 Ir 2.60-2.62
4 Ir 0.1240 0.6253 0.6253  6 Ir 2.60-2.62
5 Lu 0.2500 0.2500 0.2500  12 Ir 3.06, 4 Cu 3.20
6 Cu 0.0000 0.0000 0.0000  12 Ir 3.06, 4 Lu 3.20